# 1
# Ac4IrPd2Rh | the Alexandria database | PBE | optimized geometry
# - Total magnetization: 0.000 μB per atom
# - Total energy: -48.6 eV for the cell shown
# - DOS at the Fermi energy: 4.20 states/eV/cell
# - Energy relative to the elements: -0.7005 eV/atom
# - Space group: P2/m (10)
data_Ac4IrPd2Rh
_cell_length_a 4.365
_cell_length_b 7.525
_cell_length_c 7.556
_cell_angle_alpha 109.37
_cell_angle_beta 90.00
_cell_angle_gamma 90.00
_space_group_name_H-M_alt 'P 1'
_space_group_IT_number 1
loop_
_space_group_symop_operation_xyz
'x,y,z'
loop_
_atom_site_label
_atom_site_type_symbol
_atom_site_fract_x
_atom_site_fract_y
_atom_site_fract_z
_atom_site_occupancy
Pd1 Pd 0.500 0.000 0.500 1
Pd2 Pd 0.000 0.500 0.500 1
Ac1 Ac 0.500 0.756 0.765 1
Rh1 Rh 0.500 0.500 0.000 1
Ir1 Ir 0.000 0.000 0.000 1
Ac2 Ac 0.000 0.253 0.764 1
Ac3 Ac 0.000 0.747 0.236 1
Ac4 Ac 0.500 0.244 0.235 1



# 2
# Ac3IrPdRh | the Alexandria database | PBE | optimized geometry
# - Total magnetization: 0.000 μB per atom
# - Total energy: -74.4 eV for the cell shown
# - DOS at the Fermi energy: 5.53 states/eV/cell
# - Energy relative to the elements: -0.5812 eV/atom
# - Space group: P2_1/m (11)
data_Ac3IrPdRh
_cell_length_a 4.280
_cell_length_b 8.517
_cell_length_c 10.110
_cell_angle_alpha 111.98
_cell_angle_beta 90.00
_cell_angle_gamma 90.00
_space_group_name_H-M_alt 'P 1'
_space_group_IT_number 1
loop_
_space_group_symop_operation_xyz
'x,y,z'
loop_
_atom_site_label
_atom_site_type_symbol
_atom_site_fract_x
_atom_site_fract_y
_atom_site_fract_z
_atom_site_occupancy
Ac1 Ac 0.250 0.728 0.497 1
Pd1 Pd 0.250 0.244 0.238 1
Ir1 Ir 0.250 0.720 0.185 1
Rh1 Rh 0.750 0.892 0.407 1
Rh2 Rh 0.250 0.108 0.593 1
Ac2 Ac 0.750 0.459 0.148 1
Ac3 Ac 0.750 0.272 0.503 1
Ac4 Ac 0.250 0.541 0.852 1
Ac5 Ac 0.750 0.929 0.136 1
Ac6 Ac 0.250 0.071 0.864 1
Pd2 Pd 0.750 0.756 0.762 1
Ir2 Ir 0.750 0.280 0.815 1



Please write out number 2 again, unchanged.
# Ac3IrPdRh | the Alexandria database | PBE | optimized geometry
# - Total magnetization: 0.000 μB per atom
# - Total energy: -74.4 eV for the cell shown
# - DOS at the Fermi energy: 5.53 states/eV/cell
# - Energy relative to the elements: -0.5812 eV/atom
# - Space group: P2_1/m (11)
data_Ac3IrPdRh
_cell_length_a 4.280
_cell_length_b 8.517
_cell_length_c 10.110
_cell_angle_alpha 111.98
_cell_angle_beta 90.00
_cell_angle_gamma 90.00
_space_group_name_H-M_alt 'P 1'
_space_group_IT_number 1
loop_
_space_group_symop_operation_xyz
'x,y,z'
loop_
_atom_site_label
_atom_site_type_symbol
_atom_site_fract_x
_atom_site_fract_y
_atom_site_fract_z
_atom_site_occupancy
Ac1 Ac 0.250 0.728 0.497 1
Pd1 Pd 0.250 0.244 0.238 1
Ir1 Ir 0.250 0.720 0.185 1
Rh1 Rh 0.750 0.892 0.407 1
Rh2 Rh 0.250 0.108 0.593 1
Ac2 Ac 0.750 0.459 0.148 1
Ac3 Ac 0.750 0.272 0.503 1
Ac4 Ac 0.250 0.541 0.852 1
Ac5 Ac 0.750 0.929 0.136 1
Ac6 Ac 0.250 0.071 0.864 1
Pd2 Pd 0.750 0.756 0.762 1
Ir2 Ir 0.750 0.280 0.815 1